(1)
Computed, not measured: a geometry-optimized HgC2 structure at the PBE level of DFT.

Summary:
Its formation energy from the elements is 0.982 eV per atom. The value obtained for the total energy is -5.2681 eV per atom. The space-group type is No. 8. The energy above the most stable polymorph in this dataset is 444 meV/atom. For the density of states at the Fermi level, the calculation gives 0.3440 states/eV per atom. For the magnetization, the calculation gives 0.000 μB per formula unit.

Cell lengths 7.119, 7.119, 8.117 Å; angles 120.86, 120.86, 22.02 degrees
Fractional coordinates of all 6 atoms:
Hg (0.000, 0.000, 0.000)
Hg (0.249, 0.249, 0.998)
C (0.109, 0.109, 0.713)
C (0.386, 0.386, 0.275)
C (0.470, 0.470, 0.439)
C (0.566, 0.566, 0.627)

=====

(2)
Computed, not measured: a geometry-optimized CsRb5Au2 structure at the PBE level of DFT.

Summary:
Its formation energy from the elements is -0.127 eV per atom. The value obtained for the total energy is -1.6577 eV per atom. The space-group type is No. 71. For the density of states at the Fermi level, the calculation gives 0.5061 states/eV per atom. For the magnetization, the calculation gives 0.000 μB per formula unit.

Cell lengths 10.124, 10.124, 10.124 Å; angles 146.54, 118.87, 71.51 degrees
Fractional coordinates of all 8 atoms:
Cs (0.000, 0.000, 0.000)
Rb (0.128, 0.335, 0.792)
Rb (0.457, 0.665, 0.792)
Rb (0.500, 0.000, 0.500)
Rb (0.543, 0.335, 0.208)
Rb (0.872, 0.665, 0.208)
Au (0.283, 0.783, 0.500)
Au (0.717, 0.217, 0.500)